(P)
Entry from the Alexandria database: a relaxed structure of DyYN (GGA-PBE).

## Properties
**N(E_F)**: 0.906 states/eV/atom

Structure (POSCAR):
```
DyYN
1.0
12.0771 0.0000 0.0000
0.0000 3.4263 0.0000
0.0000 0.0000 6.1088
Dy Y N
4 4 4
Cartesian
1.5825 0.8566 0.7265
4.4560 2.5697 3.7809
7.6211 0.8566 2.3279
10.4946 2.5697 5.3822
1.6410 0.8566 3.6856
4.3976 2.5697 0.6313
7.6795 0.8566 5.4775
10.4361 2.5697 2.4231
2.5986 2.5697 2.1867
3.4399 0.8566 5.2411
8.6372 2.5697 0.8676
9.4785 0.8566 3.9220
```

(Q)
Entry from the Alexandria database: a relaxed structure of DyYN (GGA-PBE).

## Properties
**N(E_F)**: 0.497 states/eV/atom

Structure (POSCAR):
```
DyYN
1.0
0.0000 3.0032 3.0032
3.0032 0.0000 3.0032
3.0032 3.0032 0.0000
Dy Y N
1 1 1
Cartesian
0.0000 0.0000 0.0000
3.0032 3.0032 3.0032
1.5016 1.5016 1.5016
```

(R)
Entry from the Alexandria database: a relaxed structure of DyYN (GGA-PBE).

## Properties
**N(E_F)**: 0.858 states/eV/atom

Structure (POSCAR):
```
DyYN
1.0
3.5057 0.0000 0.0000
-1.7529 3.0360 0.0000
0.0000 0.0000 5.9803
Dy Y N
1 1 1
Cartesian
0.0000 0.0000 0.0000
1.7529 1.0120 3.3030
0.0000 2.0240 4.6651
```

(R) is preferred energetically. Next in line: 0.297 eV/atom higher.

(P)
Entry from the Alexandria database: a relaxed structure of DyZr3N4 (GGA-PBE).

## Properties
**N(E_F)**: 0.271 states/eV/atom

Structure (POSCAR):
```
DyZr3N4
1.0
4.6792 0.0000 0.0000
0.0000 4.6792 0.0000
0.0000 0.0000 4.6792
Dy Zr N
1 3 4
Cartesian
0.0000 0.0000 0.0000
0.0000 2.3396 2.3396
2.3396 0.0000 2.3396
2.3396 2.3396 0.0000
0.0000 0.0000 2.3396
0.0000 2.3396 0.0000
2.3396 0.0000 0.0000
2.3396 2.3396 2.3396
```

(Q)
Entry from the Alexandria database: a relaxed structure of DyZr3N4 (GGA-PBE).

## Properties
**N(E_F)**: 0.153 states/eV/atom

Structure (POSCAR):
```
DyZr3N4
1.0
3.3211 -4.6739 0.0000
3.3211 4.6739 0.0000
0.0000 0.0000 3.2976
Dy Zr N
1 3 4
Cartesian
0.0000 0.0000 0.0000
1.6605 2.3370 1.6488
1.6605 -2.3370 1.6488
3.3211 0.0000 0.0000
3.3211 2.2940 0.0000
1.7293 0.0000 1.6488
4.9128 0.0000 1.6488
3.3211 -2.2940 0.0000
```

(Q) is preferred energetically. Next in line: 0.022 eV/atom higher.

(P)
Entry from the Alexandria database: a relaxed structure of Dy3ZrN4 (GGA-PBE).

## Properties
**N(E_F)**: 0.133 states/eV/atom

Structure (POSCAR):
```
Dy3ZrN4
1.0
3.4173 -4.8146 0.0000
3.4173 4.8146 0.0000
0.0000 0.0000 3.4036
Dy Zr N
3 1 4
Cartesian
0.0000 0.0000 0.0000
1.7087 2.4073 1.7018
1.7087 -2.4073 1.7018
3.4173 0.0000 0.0000
3.4173 2.3314 0.0000
1.7942 0.0000 1.7018
5.0405 0.0000 1.7018
3.4173 -2.3314 0.0000
```

(Q)
Entry from the Alexandria database: a relaxed structure of Dy3ZrN4 (GGA-PBE).

## Properties
**N(E_F)**: 0.227 states/eV/atom

Structure (POSCAR):
```
Dy3ZrN4
1.0
4.8255 0.0000 0.0000
0.0000 4.8255 0.0000
0.0000 0.0000 4.8255
Dy Zr N
3 1 4
Cartesian
0.0000 0.0000 2.4127
0.0000 2.4127 0.0000
2.4127 0.0000 0.0000
2.4127 2.4127 2.4127
0.0000 0.0000 0.0000
0.0000 2.4127 2.4127
2.4127 0.0000 2.4127
2.4127 2.4127 0.0000
```

(P) is preferred energetically. Next in line: 0.042 eV/atom higher.

(P)
Entry from the Alexandria database: a relaxed structure of NaNdDy (GGA-PBE).

## Properties
**N(E_F)**: 1.160 states/eV/atom

Structure (POSCAR):
```
NaNdDy
1.0
10.5770 -1.7666 0.0000
10.5770 1.7666 0.0000
-0.0005 0.0000 5.6200
Na Nd Dy
2 2 2
Cartesian
4.3892 0.0000 1.3999
16.7643 0.0000 4.2201
8.3152 0.0000 1.4067
12.8382 0.0000 4.2133
0.8602 0.0000 1.4073
20.2933 0.0000 4.2127
```

(Q)
Entry from the Alexandria database: a relaxed structure of NaNdDy (GGA-PBE).

## Properties
**N(E_F)**: 1.363 states/eV/atom

Structure (POSCAR):
```
NaNdDy
1.0
3.5889 0.0000 0.0000
-1.7944 3.1081 0.0000
0.0000 0.0000 9.2449
Na Nd Dy
1 1 1
Cartesian
0.0000 0.0000 0.0000
1.7944 1.0360 3.2637
0.0000 2.0720 6.0614
```

(R)
Entry from the Alexandria database: a relaxed structure of NaNdDy (GGA-PBE).

## Properties
**N(E_F)**: 1.326 states/eV/atom

Structure (POSCAR):
```
NaNdDy
1.0
0.0000 5.4900 5.8931
3.2821 0.0000 5.8931
3.2821 5.4900 0.0000
Na Nd Dy
2 2 2
Cartesian
3.2821 5.4900 1.5494
3.2821 5.4900 10.2367
3.2821 3.6064 5.8931
3.2821 7.3736 5.8931
1.6410 2.7450 2.9465
4.9231 8.2350 8.8396
```

(S)
Entry from the Alexandria database: a relaxed structure of NaNdDy (GGA-PBE).

## Properties
**N(E_F)**: 1.207 states/eV/atom

Structure (POSCAR):
```
NaNdDy
1.0
-1.7734 1.7734 8.1896
1.7734 -1.7734 8.1896
1.7734 1.7734 -8.1896
Na Nd Dy
1 1 1
Cartesian
0.0000 0.0000 0.0000
0.0000 0.0000 11.0919
0.0000 0.0000 5.3701
```

(P) is preferred energetically. Next in line: 0.015 eV/atom higher.

(P)
Entry from the Alexandria database: a relaxed structure of NaNdDy2 (GGA-PBE).

## Properties
**N(E_F)**: 1.309 states/eV/atom

Structure (POSCAR):
```
NaNdDy2
1.0
3.5775 0.0000 0.0000
0.0000 3.5775 0.0000
0.0000 0.0000 10.5497
Na Nd Dy
1 1 2
Cartesian
0.0000 0.0000 0.0000
0.0000 0.0000 5.2748
1.7888 1.7888 2.8095
1.7888 1.7888 7.7402
```

(Q)
Entry from the Alexandria database: a relaxed structure of NaNdDy2 (GGA-PBE).

## Properties
**N(E_F)**: 1.490 states/eV/atom

Structure (POSCAR):
```
NaNdDy2
1.0
1.7669 1.0201 12.7844
-1.7669 1.0201 12.7844
0.0000 -2.0403 12.7844
Na Nd Dy
1 1 2
Cartesian
0.0000 0.0000 0.0000
0.0000 0.0000 19.1766
0.0000 0.0000 3.5059
0.0000 0.0000 34.8472
```

(P) is preferred energetically. Next in line: 0.033 eV/atom higher.

(P)
Entry from the Alexandria database: a relaxed structure of NaDy2Ni (GGA-PBE).

## Properties
**N(E_F)**: 0.433 states/eV/atom

Structure (POSCAR):
```
NaDy2Ni
1.0
1.9498 1.1257 10.2048
-1.9498 1.1257 10.2048
0.0000 -2.2514 10.2048
Na Dy Ni
1 2 1
Cartesian
0.0000 0.0000 0.0000
0.0000 0.0000 3.6769
0.0000 0.0000 26.9376
0.0000 0.0000 15.3073
```

(Q)
Entry from the Alexandria database: a relaxed structure of NaDy2Ni (GGA-PBE).

## Properties
**N(E_F)**: 0.738 states/eV/atom

Structure (POSCAR):
```
NaDy2Ni
1.0
3.3707 0.0000 0.0000
0.0000 3.3707 0.0000
0.0000 0.0000 9.5123
Na Dy Ni
1 2 1
Cartesian
0.0000 0.0000 0.0000
1.6854 1.6854 3.1436
1.6854 1.6854 6.3688
0.0000 0.0000 4.7562
```

(Q) is preferred energetically. Next in line: 0.085 eV/atom higher.

(P)
Entry from the Alexandria database: a relaxed structure of NaDyPb3 (GGA-PBE).

## Properties
**N(E_F)**: 0.416 states/eV/atom

Structure (POSCAR):
```
NaDyPb3
1.0
7.5680 0.0000 0.0000
-3.7840 6.5540 0.0000
0.0000 0.0000 6.0776
Na Dy Pb
2 2 6
Cartesian
0.0000 0.0000 0.0000
0.0000 0.0000 3.0388
0.0000 4.3694 1.5194
3.7840 2.1847 4.5582
0.0000 2.6000 4.5582
-1.5323 5.2540 4.5582
2.2517 1.3000 1.5194
1.5323 5.2540 4.5582
5.3163 1.3000 1.5194
3.7840 3.9540 1.5194
```

(Q)
Entry from the Alexandria database: a relaxed structure of NaDyPb3 (GGA-PBE).

## Properties
**N(E_F)**: 0.445 states/eV/atom

Structure (POSCAR):
```
NaDyPb3
1.0
6.4875 0.0000 0.0000
0.0000 14.1256 0.0000
-0.0094 0.0000 6.3973
Na Dy Pb
4 4 12
Cartesian
-0.0024 1.4395 1.5993
-0.0071 12.6861 4.7980
3.2414 1.4386 1.5993
3.2367 12.6869 4.7980
1.6195 4.4664 3.2161
1.6242 9.6592 0.0175
4.8539 4.4664 6.3798
4.8586 9.6592 3.1812
-0.0071 6.9944 4.7980
-0.0024 7.1312 1.5993
1.6149 1.4990 4.5466
1.6198 4.0841 0.0711
1.6150 10.0415 3.2697
1.6196 12.6266 1.3480
3.2367 6.9978 4.7980
3.2414 7.1278 1.5993
4.8585 1.4990 5.0493
4.8630 4.0841 3.1276
4.8583 10.0415 6.3262
4.8632 12.6266 1.8507
```

(Q) is preferred energetically. Next in line: 0.204 eV/atom higher.

(P)
Entry from the Alexandria database: a relaxed structure of NaPmDy (GGA-PBE).

## Properties
**N(E_F)**: 1.392 states/eV/atom

Structure (POSCAR):
```
NaPmDy
1.0
3.5766 0.0000 0.0000
-1.7883 3.0974 0.0000
0.0000 0.0000 9.2178
Na Pm Dy
1 1 1
Cartesian
0.0000 0.0000 0.0000
1.7883 1.0325 3.2474
0.0000 2.0649 6.0303
```

(Q)
Entry from the Alexandria database: a relaxed structure of NaPmDy (GGA-PBE).

## Properties
**N(E_F)**: 1.165 states/eV/atom

Structure (POSCAR):
```
NaPmDy
1.0
-1.7649 1.7649 8.1854
1.7649 -1.7649 8.1854
1.7649 1.7649 -8.1854
Na Pm Dy
1 1 1
Cartesian
0.0000 0.0000 0.0000
0.0000 0.0000 11.0838
0.0000 0.0000 5.3546
```

(P) is preferred energetically. Next in line: 0.019 eV/atom higher.

(P)
Entry from the Alexandria database: a relaxed structure of NaPrDy (GGA-PBE).

## Properties
**N(E_F)**: 1.106 states/eV/atom

Structure (POSCAR):
```
NaPrDy
1.0
10.6124 -1.7737 0.0000
10.6124 1.7737 0.0000
-0.0005 0.0000 5.6291
Na Pr Dy
2 2 2
Cartesian
4.4032 0.0000 1.4022
16.8210 0.0000 4.2269
8.3318 0.0000 1.4090
12.8924 0.0000 4.2201
0.8617 0.0000 1.4096
20.3625 0.0000 4.2196
```

(Q)
Entry from the Alexandria database: a relaxed structure of NaPrDy (GGA-PBE).

## Properties
**N(E_F)**: 1.320 states/eV/atom

Structure (POSCAR):
```
NaPrDy
1.0
0.0000 5.5012 5.9138
3.2916 0.0000 5.9138
3.2916 5.5012 0.0000
Na Pr Dy
2 2 2
Cartesian
3.2916 5.5012 1.5525
3.2916 5.5012 10.2752
3.2916 3.6155 5.9138
3.2916 7.3870 5.9138
1.6458 2.7506 2.9569
4.9374 8.2519 8.8707
```

(P) is preferred energetically. Next in line: 0.300 eV/atom higher.

(P)
Entry from the Alexandria database: a relaxed structure of NaPrDy (GGA-PBE).

## Properties
**N(E_F)**: 1.381 states/eV/atom

Structure (POSCAR):
```
NaPrDy
1.0
3.6035 0.0000 0.0000
-1.8017 3.1207 0.0000
0.0000 0.0000 9.2749
Na Pr Dy
1 1 1
Cartesian
0.0000 0.0000 0.0000
0.0000 2.0805 5.9935
1.8017 1.0402 3.1797
```

(Q)
Entry from the Alexandria database: a relaxed structure of NaPrDy (GGA-PBE).

## Properties
**N(E_F)**: 1.252 states/eV/atom

Structure (POSCAR):
```
NaPrDy
1.0
-1.7823 1.7823 8.2045
1.7823 -1.7823 8.2045
1.7823 1.7823 -8.2045
Na Pr Dy
1 1 1
Cartesian
0.0000 0.0000 0.0000
0.0000 0.0000 11.1183
0.0000 0.0000 5.3954
```

(P) is preferred energetically. Next in line: 0.020 eV/atom higher.

(P)
Entry from the Alexandria database: a relaxed structure of NaDy2Ru (GGA-PBE).

## Properties
**N(E_F)**: 0.605 states/eV/atom

Structure (POSCAR):
```
NaDy2Ru
1.0
1.9772 1.1415 9.2545
-1.9772 1.1415 9.2545
0.0000 -2.2831 9.2545
Na Dy Ru
1 2 1
Cartesian
0.0000 0.0000 0.0000
0.0000 0.0000 6.1064
0.0000 0.0000 21.6569
0.0000 0.0000 13.8817
```

(Q)
Entry from the Alexandria database: a relaxed structure of NaDy2Ru (GGA-PBE).

## Properties
**N(E_F)**: 0.361 states/eV/atom

Structure (POSCAR):
```
NaDy2Ru
1.0
3.4036 0.0000 0.0000
0.0000 3.4036 0.0000
0.0000 0.0000 9.4301
Na Dy Ru
1 2 1
Cartesian
0.0000 0.0000 0.0000
1.7018 1.7018 3.0722
1.7018 1.7018 6.3579
0.0000 0.0000 4.7150
```

(Q) is preferred energetically. Next in line: 0.142 eV/atom higher.

(P)
Entry from the Alexandria database: a relaxed structure of NaDy2Sc (GGA-PBE).

## Properties
**N(E_F)**: 1.047 states/eV/atom

Structure (POSCAR):
```
NaDy2Sc
1.0
3.7429 0.0000 0.0000
0.0000 3.7429 0.0000
0.0000 0.0000 8.9635
Na Dy Sc
1 2 1
Cartesian
0.0000 0.0000 0.0000
1.8714 1.8714 2.6099
1.8714 1.8714 6.3536
0.0000 0.0000 4.4817
```

(Q)
Entry from the Alexandria database: a relaxed structure of NaDy2Sc (GGA-PBE).

## Properties
**N(E_F)**: 1.137 states/eV/atom

Structure (POSCAR):
```
NaDy2Sc
1.0
1.7093 0.9869 12.3247
-1.7093 0.9869 12.3247
0.0000 -1.9737 12.3247
Na Dy Sc
1 2 1
Cartesian
0.0000 0.0000 0.0000
0.0000 0.0000 3.4972
0.0000 0.0000 33.4769
0.0000 0.0000 18.4871
```

(P) is preferred energetically. Next in line: 0.007 eV/atom higher.